1.
# Dy2SnSb

Crystalline Dy2SnSb at its relaxed geometry (PBE, Alexandria via LeMat-Bulk).

Cell and atoms, written as CIF:
```
data_Dy2SnSb
_cell_length_a 4.1799
_cell_length_b 4.1799
_cell_length_c 23.9708
_cell_angle_alpha 90.00
_cell_angle_beta 90.00
_cell_angle_gamma 120.00
_symmetry_space_group_name_H-M 'R 3 m'
_symmetry_Int_Tables_number 160
_symmetry_space_group_name_Hall 'R 3 -2"'
loop_
_atom_site_label
_atom_site_type_symbol
_atom_site_fract_x
_atom_site_fract_y
_atom_site_fract_z
Dy1 Dy 0.0000 0.0000 0.0000
Dy2 Dy 0.0000 0.0000 0.1772
Sn1 Sn 0.0000 0.0000 0.7563
Sb1 Sb 0.0000 0.0000 0.5873
```

---

2.
# CsTl2F3

Crystalline CsTl2F3 at its relaxed geometry (PBE, Alexandria via LeMat-Bulk).

Cell and atoms, written as CIF:
```
data_CsTl2F3
_cell_length_a 3.800
_cell_length_b 11.312
_cell_length_c 7.232
_cell_angle_alpha 90.00
_cell_angle_beta 90.00
_cell_angle_gamma 90.00
_symmetry_space_group_name_H-M 'P m c 21'
_symmetry_Int_Tables_number 26
loop_
_symmetry_equiv_pos_as_xyz
'x,y,z'
'-x,-y,z+1/2'
'-x,y,z'
'x,-y,z+1/2'
loop_
_atom_site_label
_atom_site_type_symbol
_atom_site_fract_x
_atom_site_fract_y
_atom_site_fract_z
Cs1 Cs 0.000 0.095 0.000
Tl1 Tl 0.000 0.255 0.527
Tl2 Tl 0.500 0.429 0.053
F1 F 0.000 0.349 0.865
F2 F 0.500 0.106 0.648
F3 F 0.500 0.245 0.217
```

---

| no. | total moment (μB/atom) | E_form (uncorrected) (eV per formula unit) |
| --- | --- | --- |
| 1 | 0.0000 | -2.94 |
| 2 | 0.0000 | -12.16 |